PmPu4Th: optimized geometry, PBE.

Summary:
As for the spin magnetization: 22.4 μB/f.u. For the energy relative to the elements, the calculation gives 0.217 eV per atom.

Unit cell a=8.735 b=8.735 c=8.735 alpha=90.00 beta=90.00 gamma=90.00
Space group F-43m (No. 216)
One atom of each set of equivalent atoms:
Pm: 0.000 0.000 0.000 x4
Pu: 0.124 0.124 0.376 x16
Th: 0.250 0.250 0.750 x4